Record 1
Cs2CaV2O7: optimized geometry, PBEsol.

a b c (Å): 10.527 6.085 15.267
angles (deg): 90.00 116.89 90.00
Space group P2_1/c (No. 14)
Symmetry-distinct sites (fractional):
Cs1 0.003 0.226 0.136 x4
Cs2 0.468 0.231 0.328 x4
Ca1 0.267 0.243 0.518 x4
V1 0.163 0.736 0.135 x4
V2 0.330 0.733 0.378 x4
O1 0.015 0.212 0.431 x4
O2 0.194 0.691 0.758 x4
O3 0.226 0.556 0.593 x4
O4 0.246 0.004 0.635 x4
O5 0.288 0.017 0.906 x4
O6 0.323 0.571 0.954 x4
O7 0.490 0.726 0.377 x4

## Properties
Formation energy without anion corrections   -2535 meV/atom
Density   3.96 Mg/m³
DOS(E_F)   0.00 states/eV/f.u.

=====

Record 2
YPb: optimized geometry, PBEsol.

a b c (Å): 5.3335 5.3335 6.0613
angles (deg): 90.00 90.00 120.00
Space group P6_3/mmc (No. 194)
Symmetry-distinct sites (fractional):
Y1 0.3333 0.6667 0.2500 x2
Pb1 0.3333 0.6667 0.7500 x2

## Properties
Formation enthalpy at 0 K   -4.48 kJ per mole of atoms
Density   6.59 Mg/m³
DOS(E_F)   2.29 states/eV/f.u.

=====

> Which value of DOS(E_F) does entry 1 give?

0.00 states/eV/f.u.